# 1
NpPaNbTc | GGA-PBE | relaxed

Structure (POSCAR):
```
NpPaNbTc
1.0
4.781 0.000 0.000
2.390 4.140 0.000
2.390 1.380 3.903
Np Nb Pa Tc
1 1 1 1
Direct
0.250 0.250 0.250 Np
0.000 0.000 0.000 Nb
0.500 0.500 0.500 Pa
0.750 0.750 0.750 Tc
```

The calculation puts the energy of formation at 0.13 eV per atom. The total energy comes out at -10.585 eV/atom. The value obtained for the theoretical density is 14.2 g/cm³. As for the symmetry: F-43m (216).



# 2
NpNbPd14 | GGA-PBE | relaxed

Structure (POSCAR):
```
NpNbPd14
1.0
-0.733 3.264 -4.652
-5.483 -1.640 -0.287
-2.036 6.011 4.538
Np Nb Pd
1 1 14
Direct
0.375 0.375 0.500 Np
0.875 0.875 0.500 Nb
0.875 0.875 0.000 Pd
0.375 0.375 0.000 Pd
0.875 0.375 0.500 Pd
0.875 0.375 0.000 Pd
0.375 0.875 0.500 Pd
0.375 0.875 0.000 Pd
0.629 0.121 0.253 Pd
0.629 0.121 0.747 Pd
0.121 0.629 0.253 Pd
0.121 0.629 0.747 Pd
0.629 0.629 0.253 Pd
0.629 0.629 0.747 Pd
0.121 0.121 0.253 Pd
0.121 0.121 0.747 Pd
```

The calculation puts the energy of formation at -0.25 eV per atom. The total energy comes out at -6.232 eV/atom. The value obtained for the theoretical density is 11.8 g/cm³. As for the symmetry: P4/mmm (123).



# 3
NpNb2Pd9 | GGA-PBE | relaxed

Structure (POSCAR):
```
NpNb2Pd9
1.0
4.037 0.000 0.000
0.000 4.037 0.000
0.000 0.000 12.146
Np Nb Pd
1 2 9
Direct
0.000 0.000 0.000 Np
0.000 0.000 0.336 Nb
0.000 0.000 0.664 Nb
0.500 0.500 0.000 Pd
0.500 0.500 0.340 Pd
0.500 0.500 0.660 Pd
0.500 0.000 0.180 Pd
0.500 0.000 0.500 Pd
0.500 0.000 0.820 Pd
0.000 0.500 0.180 Pd
0.000 0.500 0.500 Pd
0.000 0.500 0.820 Pd
```

The calculation puts the energy of formation at -0.34 eV per atom. The total energy comes out at -6.991 eV/atom. The value obtained for the theoretical density is 11.6 g/cm³. As for the symmetry: P4/mmm (123).



# 4
Np2NbPd9 | GGA-PBE | relaxed

Structure (POSCAR):
```
Np2NbPd9
1.0
4.094 0.000 0.000
0.000 4.094 0.000
0.000 0.000 12.306
Np Nb Pd
2 1 9
Direct
0.000 0.000 0.330 Np
0.000 0.000 0.670 Np
0.000 0.000 0.000 Nb
0.500 0.500 0.000 Pd
0.500 0.500 0.326 Pd
0.500 0.500 0.674 Pd
0.500 0.000 0.154 Pd
0.500 0.000 0.500 Pd
0.500 0.000 0.846 Pd
0.000 0.500 0.154 Pd
0.000 0.500 0.500 Pd
0.000 0.500 0.846 Pd
```

The calculation puts the energy of formation at -0.40 eV per atom. The total energy comes out at -7.287 eV/atom. The value obtained for the theoretical density is 12.3 g/cm³. As for the symmetry: P4/mmm (123).



# 5
NpNbPt6 | GGA-PBE | relaxed

Structure (POSCAR):
```
NpNbPt6
1.0
-1.610 -1.908 3.219
0.027 -3.510 -2.067
7.555 -1.606 2.827
Np Nb Pt
1 1 6
Direct
0.000 0.000 0.000 Np
0.000 0.000 0.500 Nb
0.500 0.500 0.000 Pt
0.500 0.500 0.500 Pt
0.500 0.000 0.266 Pt
0.500 0.000 0.734 Pt
0.000 0.500 0.266 Pt
0.000 0.500 0.734 Pt
```

The calculation puts the energy of formation at -0.57 eV per atom. The total energy comes out at -7.976 eV/atom. The value obtained for the theoretical density is 18.3 g/cm³. As for the symmetry: P4/mmm (123).



# 6
NpNbPt2 | GGA-PBE | relaxed

Structure (POSCAR):
```
NpNbPt2
1.0
-2.260 3.383 -2.473
-4.355 1.402 1.315
-0.634 4.322 1.908
Np Nb Pt
1 1 2
Direct
0.500 0.500 0.500 Np
0.000 0.000 0.000 Nb
0.250 0.250 0.250 Pt
0.750 0.750 0.750 Pt
```

The calculation puts the energy of formation at -0.24 eV per atom. The total energy comes out at -9.014 eV/atom. The value obtained for the theoretical density is 15.6 g/cm³. As for the symmetry: R-3m (166).